An optimized crystal structure of TlP2Os. Source: Alexandria, functional PBE.

Geometry as CIF:
```
data_TlP2Os
_chemical_formula_sum 'Tl1 P2 Os1'
_cell_length_a 4.538
_cell_length_b 4.538
_cell_length_c 4.538
_cell_angle_alpha 60.00
_cell_angle_beta 60.00
_cell_angle_gamma 60.00
_space_group_name_H-M_alt 'P 1'
_space_group_IT_number 1
loop_
_space_group_symop_operation_xyz
'x,y,z'
loop_
_atom_site_label
_atom_site_fract_x
_atom_site_fract_y
_atom_site_fract_z
_atom_site_occupancy
Os1 0.000 0.000 0.000 1
Tl1 0.500 0.500 0.500 1
P1 0.750 0.750 0.750 1
P2 0.250 0.250 0.250 1
```

Excess energy over the best structure of this formula in the dataset in meV per atom: 720
D(E_F) in states/eV/cell: 1.5
E_form in meV per atom: 795.9

***

An optimized crystal structure of TlP2Os. Source: Alexandria, functional PBE.

Geometry as CIF:
```
data_TlP2Os
_chemical_formula_sum 'Tl1 P2 Os1'
_cell_length_a 4.576
_cell_length_b 4.576
_cell_length_c 4.576
_cell_angle_alpha 60.00
_cell_angle_beta 60.00
_cell_angle_gamma 60.00
_space_group_name_H-M_alt 'P 1'
_space_group_IT_number 1
loop_
_space_group_symop_operation_xyz
'x,y,z'
loop_
_atom_site_label
_atom_site_fract_x
_atom_site_fract_y
_atom_site_fract_z
_atom_site_occupancy
P1 0.000 0.000 0.000 1
P2 0.250 0.250 0.250 1
Tl1 0.750 0.750 0.750 1
Os1 0.500 0.500 0.500 1
```

Excess energy over the best structure of this formula in the dataset in meV per atom: 1038
D(E_F) in states/eV/cell: 1.8
E_form in meV per atom: 1113.7

***

An optimized crystal structure of Tl4POs. Source: Alexandria, functional PBE.

Geometry as CIF:
```
data_Tl4POs
_chemical_formula_sum 'Tl4 P1 Os1'
_cell_length_a 6.093
_cell_length_b 6.093
_cell_length_c 6.093
_cell_angle_alpha 60.00
_cell_angle_beta 60.00
_cell_angle_gamma 60.00
_space_group_name_H-M_alt 'P 1'
_space_group_IT_number 1
loop_
_space_group_symop_operation_xyz
'x,y,z'
loop_
_atom_site_label
_atom_site_fract_x
_atom_site_fract_y
_atom_site_fract_z
_atom_site_occupancy
Tl1 0.375 0.375 0.875 1
Tl2 0.875 0.375 0.375 1
Tl3 0.375 0.375 0.375 1
Os1 0.750 0.750 0.750 1
Tl4 0.375 0.875 0.375 1
P1 0.000 0.000 0.000 1
```

D(E_F) in states/eV/cell: 4.4
E_form in meV per atom: 1337.6

***

An optimized crystal structure of TlP2Os. Source: Alexandria, functional PBE.

Geometry as CIF:
```
data_TlP2Os
_chemical_formula_sum 'Tl1 P2 Os1'
_cell_length_a 4.650
_cell_length_b 4.650
_cell_length_c 3.274
_cell_angle_alpha 89.95
_cell_angle_beta 89.95
_cell_angle_gamma 107.84
_space_group_name_H-M_alt 'P 1'
_space_group_IT_number 1
loop_
_space_group_symop_operation_xyz
'x,y,z'
loop_
_atom_site_label
_atom_site_fract_x
_atom_site_fract_y
_atom_site_fract_z
_atom_site_occupancy
Tl1 0.500 0.000 0.500 1
P1 0.000 0.000 0.000 1
Os1 0.000 0.500 0.500 1
P2 0.500 0.500 0.000 1
```

Excess energy over the best structure of this formula in the dataset in meV per atom: 844
D(E_F) in states/eV/cell: 2.1
E_form in meV per atom: 920.2

***

An optimized crystal structure of TlP2Os. Source: Alexandria, functional PBE.

Geometry as CIF:
```
data_TlP2Os
_chemical_formula_sum 'Tl1 P2 Os1'
_cell_length_a 8.864
_cell_length_b 8.864
_cell_length_c 8.864
_cell_angle_alpha 19.95
_cell_angle_beta 19.95
_cell_angle_gamma 19.95
_space_group_name_H-M_alt 'P 1'
_space_group_IT_number 1
loop_
_space_group_symop_operation_xyz
'x,y,z'
loop_
_atom_site_label
_atom_site_fract_x
_atom_site_fract_y
_atom_site_fract_z
_atom_site_occupancy
Os1 0.729 0.729 0.729 1
Tl1 0.494 0.494 0.494 1
P1 0.275 0.275 0.275 1
P2 0.002 0.002 0.002 1
```

Excess energy over the best structure of this formula in the dataset in meV per atom: 388
D(E_F) in states/eV/cell: 2.0
E_form in meV per atom: 464.0

***

An optimized crystal structure of TlP2Os. Source: Alexandria, functional PBE.

Geometry as CIF:
```
data_TlP2Os
_chemical_formula_sum 'Tl1 P2 Os1'
_cell_length_a 3.004
_cell_length_b 3.004
_cell_length_c 9.756
_cell_angle_alpha 90.00
_cell_angle_beta 90.00
_cell_angle_gamma 120.94
_space_group_name_H-M_alt 'P 1'
_space_group_IT_number 1
loop_
_space_group_symop_operation_xyz
'x,y,z'
loop_
_atom_site_label
_atom_site_fract_x
_atom_site_fract_y
_atom_site_fract_z
_atom_site_occupancy
P1 0.000 0.000 0.555 1
Tl1 0.500 0.500 0.250 1
Os1 0.500 0.500 0.750 1
P2 0.000 0.000 0.945 1
```

Excess energy over the best structure of this formula in the dataset in meV per atom: 407
D(E_F) in states/eV/cell: 2.7
E_form in meV per atom: 483.3

***

An optimized crystal structure of TlP2Os2. Source: Alexandria, functional PBE.

Geometry as CIF:
```
data_TlP2Os2
_chemical_formula_sum 'Tl1 P2 Os2'
_cell_length_a 3.798
_cell_length_b 3.798
_cell_length_c 6.391
_cell_angle_alpha 72.72
_cell_angle_beta 72.72
_cell_angle_gamma 90.00
_space_group_name_H-M_alt 'P 1'
_space_group_IT_number 1
loop_
_space_group_symop_operation_xyz
'x,y,z'
loop_
_atom_site_label
_atom_site_fract_x
_atom_site_fract_y
_atom_site_fract_z
_atom_site_occupancy
Os1 0.633 0.633 0.735 1
Os2 0.367 0.367 0.265 1
P1 0.750 0.250 0.500 1
P2 0.250 0.750 0.500 1
Tl1 0.000 0.000 0.000 1
```

D(E_F) in states/eV/cell: 2.2
E_form in meV per atom: 115.5

***

An optimized crystal structure of TlPOs3. Source: Alexandria, functional PBE.

Geometry as CIF:
```
data_TlPOs3
_chemical_formula_sum 'Tl1 P1 Os3'
_cell_length_a 4.908
_cell_length_b 4.908
_cell_length_c 4.908
_cell_angle_alpha 90.00
_cell_angle_beta 90.00
_cell_angle_gamma 90.00
_space_group_name_H-M_alt 'P 1'
_space_group_IT_number 1
loop_
_space_group_symop_operation_xyz
'x,y,z'
loop_
_atom_site_label
_atom_site_fract_x
_atom_site_fract_y
_atom_site_fract_z
_atom_site_occupancy
P1 0.500 0.500 0.500 1
Os1 0.000 0.500 0.000 1
Os2 0.500 0.000 0.000 1
Os3 0.000 0.000 0.500 1
Tl1 0.000 0.000 0.000 1
```

Excess energy over the best structure of this formula in the dataset in meV per atom: 2555
D(E_F) in states/eV/cell: 9.0
E_form in meV per atom: 3550.0

***

An optimized crystal structure of TlP2Os. Source: Alexandria, functional PBE.

Geometry as CIF:
```
data_TlP2Os
_chemical_formula_sum 'Tl1 P2 Os1'
_cell_length_a 3.905
_cell_length_b 3.905
_cell_length_c 7.199
_cell_angle_alpha 82.01
_cell_angle_beta 82.01
_cell_angle_gamma 46.16
_space_group_name_H-M_alt 'P 1'
_space_group_IT_number 1
loop_
_space_group_symop_operation_xyz
'x,y,z'
loop_
_atom_site_label
_atom_site_fract_x
_atom_site_fract_y
_atom_site_fract_z
_atom_site_occupancy
Tl1 0.750 0.750 0.750 1
P1 0.523 0.523 0.413 1
P2 0.977 0.977 0.087 1
Os1 0.250 0.250 0.250 1
```

Excess energy over the best structure of this formula in the dataset in meV per atom: 0
D(E_F) in states/eV/cell: 1.6
E_form in meV per atom: 76.2

***

An optimized crystal structure of TlP2Os. Source: Alexandria, functional PBE.

Geometry as CIF:
```
data_TlP2Os
_chemical_formula_sum 'Tl2 P4 Os2'
_cell_length_a 6.110
_cell_length_b 6.110
_cell_length_c 6.848
_cell_angle_alpha 63.50
_cell_angle_beta 63.50
_cell_angle_gamma 90.00
_space_group_name_H-M_alt 'P 1'
_space_group_IT_number 1
loop_
_space_group_symop_operation_xyz
'x,y,z'
loop_
_atom_site_label
_atom_site_fract_x
_atom_site_fract_y
_atom_site_fract_z
_atom_site_occupancy
P1 0.221 0.625 0.250 1
Tl1 0.000 0.000 0.000 1
P2 0.529 0.125 0.250 1
Os1 0.500 0.500 0.000 1
P3 0.375 0.471 0.750 1
Os2 0.250 0.750 0.500 1
Tl2 0.750 0.250 0.500 1
P4 0.875 0.779 0.750 1
```

Excess energy over the best structure of this formula in the dataset in meV per atom: 51
D(E_F) in states/eV/cell: 4.9
E_form in meV per atom: 127.5

***

An optimized crystal structure of TlP2Os. Source: Alexandria, functional PBE.

Geometry as CIF:
```
data_TlP2Os
_chemical_formula_sum 'Tl1 P2 Os1'
_cell_length_a 3.509
_cell_length_b 3.856
_cell_length_c 6.080
_cell_angle_alpha 72.76
_cell_angle_beta 90.00
_cell_angle_gamma 90.00
_space_group_name_H-M_alt 'P 1'
_space_group_IT_number 1
loop_
_space_group_symop_operation_xyz
'x,y,z'
loop_
_atom_site_label
_atom_site_fract_x
_atom_site_fract_y
_atom_site_fract_z
_atom_site_occupancy
P1 0.500 0.269 0.057 1
P2 0.000 0.875 0.075 1
Tl1 0.000 0.501 0.546 1
Os1 0.500 0.854 0.822 1
```

Excess energy over the best structure of this formula in the dataset in meV per atom: 230
D(E_F) in states/eV/cell: 1.8
E_form in meV per atom: 305.8

***

An optimized crystal structure of TlP2Os. Source: Alexandria, functional PBE.

Geometry as CIF:
```
data_TlP2Os
_chemical_formula_sum 'Tl1 P2 Os1'
_cell_length_a 4.405
_cell_length_b 4.405
_cell_length_c 6.585
_cell_angle_alpha 77.30
_cell_angle_beta 77.30
_cell_angle_gamma 41.03
_space_group_name_H-M_alt 'P 1'
_space_group_IT_number 1
loop_
_space_group_symop_operation_xyz
'x,y,z'
loop_
_atom_site_label
_atom_site_fract_x
_atom_site_fract_y
_atom_site_fract_z
_atom_site_occupancy
Tl1 0.583 0.583 0.505 1
P1 0.796 0.796 0.815 1
P2 0.920 0.920 0.083 1
Os1 0.200 0.200 0.097 1
```

Excess energy over the best structure of this formula in the dataset in meV per atom: 19
D(E_F) in states/eV/cell: 2.0
E_form in meV per atom: 95.2

***

An optimized crystal structure of TlP2Os. Source: Alexandria, functional PBE.

Geometry as CIF:
```
data_TlP2Os
_chemical_formula_sum 'Tl1 P2 Os1'
_cell_length_a 3.055
_cell_length_b 3.055
_cell_length_c 8.036
_cell_angle_alpha 90.00
_cell_angle_beta 90.00
_cell_angle_gamma 90.00
_space_group_name_H-M_alt 'P 1'
_space_group_IT_number 1
loop_
_space_group_symop_operation_xyz
'x,y,z'
loop_
_atom_site_label
_atom_site_fract_x
_atom_site_fract_y
_atom_site_fract_z
_atom_site_occupancy
P1 0.000 0.000 0.979 1
Tl1 0.000 0.000 0.529 1
Os1 0.500 0.500 0.843 1
P2 0.500 0.500 0.149 1
```

Excess energy over the best structure of this formula in the dataset in meV per atom: 299
D(E_F) in states/eV/cell: 2.2
E_form in meV per atom: 375.0

***

An optimized crystal structure of TlP2Os. Source: Alexandria, functional PBE.

Geometry as CIF:
```
data_TlP2Os
_chemical_formula_sum 'Tl1 P2 Os1'
_cell_length_a 2.997
_cell_length_b 2.997
_cell_length_c 9.186
_cell_angle_alpha 90.00
_cell_angle_beta 90.00
_cell_angle_gamma 118.96
_space_group_name_H-M_alt 'P 1'
_space_group_IT_number 1
loop_
_space_group_symop_operation_xyz
'x,y,z'
loop_
_atom_site_label
_atom_site_fract_x
_atom_site_fract_y
_atom_site_fract_z
_atom_site_occupancy
P1 0.500 0.500 0.192 1
Os1 0.500 0.500 0.807 1
P2 0.000 0.000 0.993 1
Tl1 0.000 0.000 0.508 1
```

Excess energy over the best structure of this formula in the dataset in meV per atom: 649
D(E_F) in states/eV/cell: 2.0
E_form in meV per atom: 724.7

***

An optimized crystal structure of TlP2Os. Source: Alexandria, functional PBE.

Geometry as CIF:
```
data_TlP2Os
_chemical_formula_sum 'Tl1 P2 Os1'
_cell_length_a 6.029
_cell_length_b 6.029
_cell_length_c 6.029
_cell_angle_alpha 152.13
_cell_angle_beta 116.50
_cell_angle_gamma 70.72
_space_group_name_H-M_alt 'P 1'
_space_group_IT_number 1
loop_
_space_group_symop_operation_xyz
'x,y,z'
loop_
_atom_site_label
_atom_site_fract_x
_atom_site_fract_y
_atom_site_fract_z
_atom_site_occupancy
P1 0.064 0.064 0.000 1
Tl1 0.750 0.250 0.500 1
Os1 0.250 0.750 0.500 1
P2 0.436 0.436 0.000 1
```

Excess energy over the best structure of this formula in the dataset in meV per atom: 377
D(E_F) in states/eV/cell: 2.2
E_form in meV per atom: 453.1